Density functional theory data (PBE) for Sc2Mn2In after structural relaxation.

Cell: 6.4333 6.4333 6.4333 Å, 142.08 142.08 54.71°
Last column: nearest neighbours and their distance in Å.
Fractional coordinates of all 5 atoms:
Sc (0.2500, 0.7500, 0.5000)  4 Mn 2.75, 4 Sc 2.96
Sc (0.7500, 0.2500, 0.5000)  4 Mn 2.75, 4 Sc 2.96
Mn (0.0941, 0.0941, 0.0000)  1 Mn 2.15
Mn (0.9059, 0.9059, 0.0000)  1 Mn 2.15
In (0.5000, 0.5000, 0.0000)  8 Mn 3.15

Calculated values
Size of the total moment = 4.98 μB/f.u.
N(E_F) = 5.25 states/eV/cell
Calculated formation energy = 182.5 kJ/mol of formula units

=====

Density functional theory data (PBE) for ScMn2In after structural relaxation.

Cell: 5.4574 5.4574 5.4574 Å, 145.39 130.37 61.91°
Last column: nearest neighbours and their distance in Å.
Fractional coordinates of all 4 atoms:
Sc (0.0000, 0.0000, 0.0000)  8 Mn 2.82-3.11, 4 In 3.06-3.09
Mn (0.5312, 0.5312, 0.0000)  2 Mn 2.43
Mn (0.7249, 0.2249, 0.5000)  2 Mn 2.43
In (0.2776, 0.7776, 0.5000)  6 Mn 2.85-2.88, 4 Sc 3.06-3.09

Calculated values
Size of the total moment = 0.58 μB/f.u.
N(E_F) = 4.24 states/eV/cell
Calculated formation energy = 27.7 kJ/mol of formula units

=====

Density functional theory data (PBE) for ScMnIn after structural relaxation.

Cell: 4.7155 4.7155 4.7155 Å, 60.00 60.00 60.00°
Last column: nearest neighbours and their distance in Å.
Fractional coordinates of all 3 atoms:
Sc (0.0000, 0.0000, 0.0000)  4 Mn 2.89, 4 In 2.89
Mn (0.7500, 0.7500, 0.7500)  4 Sc 2.89
In (0.2500, 0.2500, 0.2500)  4 Sc 2.89

Calculated values
Size of the total moment = 3.94 μB/f.u.
N(E_F) = 3.56 states/eV/cell
Calculated formation energy = 160.3 kJ/mol of formula units

=====

Which of these has the highest size of the total moment? Sc2Mn2In